1.
Crystalline SrGdRh2 at its relaxed geometry, computed with GGA-PBE.

Cell: 4.982 4.982 4.982 Å, 60.00 60.00 60.00°
Fractional coordinates of all 4 atoms:
Sr1 0.000 0.000 0.000
Gd1 0.500 0.500 0.500
Rh1 0.250 0.250 0.250
Rh2 0.750 0.750 0.750

Calculated values
formation energy from the elements = -0.407 eV/atom
E = -32.092 eV per formula unit

2.
Crystalline LaCuRe2 at its relaxed geometry, computed with GGA-PBE.

Cell: 4.590 4.590 4.590 Å, 60.00 60.00 60.00°
Fractional coordinates of all 4 atoms:
La1 0.000 0.000 0.000
Cu1 0.500 0.500 0.500
Re1 0.250 0.250 0.250
Re2 0.750 0.750 0.750

Calculated values
formation energy from the elements = 1.016 eV/atom
E = -29.857 eV per formula unit

3.
Crystalline TaTeIN2 at its relaxed geometry, computed with GGA-PBE.

Cell: 3.996 3.996 7.846 Å, 90.00 90.00 90.00°
Fractional coordinates of all 5 atoms:
Ta1 0.000 0.000 0.000
Te1 0.500 0.500 0.000
I1 0.500 0.500 0.500
N1 0.000 0.500 0.500
N2 0.500 0.000 0.500

Calculated values
E = -22.341 eV per formula unit
formation energy without anion corrections = 10.9 eV/f.u.